MgHPd2Au | GGA-PBE | optimized geometry

Lattice parameters (Å, degrees): 4.0871 4.0871 4.0432 90.00 90.00 90.00
Last column: nearest neighbours and their distance in Å.
Fractional coordinates of all 5 atoms:
Mg 0.0000 0.0000 0.0000  8 Pd 2.87, 4 Au 2.89
H 0.5000 0.5000 0.5000  2 Au 2.02, 4 Pd 2.04
Pd 0.0000 0.5000 0.5000  2 H 2.04
Pd 0.5000 0.0000 0.5000  2 H 2.04
Au 0.5000 0.5000 0.0000  2 H 2.02

Calculated values
DFT total energy   -4.13 eV per atom
Symmetry   P4/mmm (123)
Total magnetic moment   0.00 μB/cell

***

PmCO | GGA-PBE | optimized geometry

Lattice parameters (Å, degrees): 6.6324 3.7249 9.7269 90.00 106.98 90.00
Last column: nearest neighbours and their distance in Å.
Fractional coordinates of all 12 atoms:
Pm 0.1737 0.0000 0.2703  3 O 2.27-2.29
Pm 0.3263 0.5000 0.7297  3 O 2.27-2.29
Pm 0.6737 0.5000 0.2703  3 O 2.27-2.29
Pm 0.8263 0.0000 0.7297  3 O 2.27-2.29
C 0.0820 0.0000 0.5527  1 C 1.26
C 0.4180 0.5000 0.4473  1 C 1.26
C 0.5820 0.5000 0.5527  1 C 1.26
C 0.9180 0.0000 0.4473  1 C 1.26
O 0.0300 0.5000 0.8020  3 Pm 2.27-2.29
O 0.4700 0.0000 0.1980  3 Pm 2.27-2.29
O 0.5300 0.0000 0.8020  3 Pm 2.27-2.29
O 0.9700 0.5000 0.1980  3 Pm 2.27-2.29

Calculated values
DFT total energy   -7.98 eV per atom
Symmetry   C2/m (12)
Total magnetic moment   0.00 μB/cell
Formation energy from raw total energies   -5.01 eV per formula unit

***

ReCl2 | GGA-PBE | optimized geometry

Lattice parameters (Å, degrees): 14.7123 2.9529 9.0186 90.00 127.24 90.00
Last column: nearest neighbours and their distance in Å.
Fractional coordinates of all 12 atoms:
Re 0.1935 0.0000 0.3497  4 Cl 2.42-2.43, 2 Re 2.61
Re 0.3065 0.5000 0.6503  4 Cl 2.42-2.43, 2 Re 2.61
Re 0.6935 0.5000 0.3497  4 Cl 2.42-2.43, 2 Re 2.61
Re 0.8065 0.0000 0.6503  4 Cl 2.42-2.43, 2 Re 2.61
Cl 0.0354 0.5000 0.2519  2 Re 2.43
Cl 0.2248 0.0000 0.7541  2 Re 2.42
Cl 0.2752 0.5000 0.2459  2 Re 2.42
Cl 0.4646 0.0000 0.7481  2 Re 2.43
Cl 0.5354 0.0000 0.2519  2 Re 2.43
Cl 0.7248 0.5000 0.7541  2 Re 2.42
Cl 0.7752 0.0000 0.2459  2 Re 2.42
Cl 0.9646 0.5000 0.7481  2 Re 2.43

Calculated values
DFT total energy   -5.42 eV per atom
Symmetry   C2/m (12)
Total magnetic moment   0.97 μB/cell
Formation energy from raw total energies   -0.12 eV per formula unit

***

LiBiAu2 | GGA-PBE | optimized geometry

Lattice parameters (Å, degrees): 4.3671 4.3671 8.4678 90.00 90.00 90.00
Last column: nearest neighbours and their distance in Å.
Fractional coordinates of all 8 atoms:
Li 0.0000 0.0000 0.0000  8 Au 3.04, 4 Bi 3.09
Li 0.5000 0.5000 0.5000  8 Au 3.04, 4 Bi 3.09
Bi 0.0000 0.0000 0.5000  8 Au 3.04, 4 Li 3.09
Bi 0.5000 0.5000 0.0000  8 Au 3.04, 4 Li 3.09
Au 0.0000 0.5000 0.2500  4 Li 3.04, 4 Bi 3.04, 4 Au 3.09
Au 0.0000 0.5000 0.7500  4 Bi 3.04, 4 Li 3.04, 4 Au 3.09
Au 0.5000 0.0000 0.2500  4 Li 3.04, 4 Bi 3.04, 4 Au 3.09
Au 0.5000 0.0000 0.7500  4 Bi 3.04, 4 Li 3.04, 4 Au 3.09

Calculated values
DFT total energy   -3.35 eV per atom
Energy of formation from the pure elements   -0.258 eV per atom
Symmetry   I4/mmm (139)
Total magnetic moment   0.00 μB/cell